No. 1
Below is a relaxed Tm2FeSi2 crystal, with properties calculated at the GGA-PBE level.

Lattice parameters (Å, degrees): 5.545 5.545 9.810 116.79 116.79 43.43
Fractional coordinates of all 10 atoms:
Si 0.498 0.498 0.127
Tm 0.999 0.999 0.328
Fe 0.729 0.729 0.375
Fe 0.271 0.271 0.625
Si 0.652 0.652 0.563
Tm 0.001 0.001 0.672
Tm 0.812 0.812 0.891
Si 0.348 0.348 0.437
Tm 0.188 0.188 0.109
Si 0.502 0.502 0.873

Computed properties:
raw total energy: -6.35 eV per atom
space-group type: No. 12

***

No. 2
Below is a relaxed YTmFe2Si2 crystal, with properties calculated at the GGA-PBE level.

Lattice parameters (Å, degrees): 4.021 4.021 6.428 90.00 90.00 90.00
Fractional coordinates of all 6 atoms:
Tm 0.000 0.000 0.312
Y 0.500 0.500 0.680
Si 0.500 0.500 0.182
Si 0.000 0.000 0.820
Fe 0.500 0.000 0.003
Fe 0.000 0.500 0.003

Computed properties:
raw total energy: -7.05 eV per atom
space-group type: No. 99

***

No. 3
Below is a relaxed U2Fe3Si5 crystal, with properties calculated at the GGA-PBE level.

Lattice parameters (Å, degrees): 7.850 7.850 5.442 109.90 109.90 92.54
Site moments in Bohr magnetons follow the coordinates.
Fractional coordinates of all 20 atoms:
Si 0.067 0.258 0.168  0.00
Si 0.487 0.513 0.750  0.01
Si 0.933 0.742 0.832  0.00
Fe 0.000 0.000 0.250  -0.06
Si 0.776 0.224 0.250  -0.01
Fe 0.252 0.540 0.360  -0.39
Si 0.513 0.487 0.250  0.01
Fe 0.460 0.748 0.140  -0.39
Si 0.207 0.793 0.250  -0.01
U 0.591 0.870 0.726  1.35
U 0.409 0.130 0.274  1.35
U 0.130 0.409 0.774  1.36
Fe 0.748 0.460 0.640  -0.39
Fe 0.000 0.000 0.750  -0.06
Si 0.224 0.776 0.750  -0.01
Si 0.258 0.067 0.668  0.00
Si 0.793 0.207 0.750  -0.01
Fe 0.540 0.252 0.860  -0.39
Si 0.742 0.933 0.332  0.00
U 0.870 0.591 0.226  1.36

Computed properties:
raw total energy: -7.97 eV per atom
space-group type: No. 15

***

No. 4
Below is a relaxed UFeSi crystal, with properties calculated at the GGA-PBE level.

Lattice parameters (Å, degrees): 6.457 6.457 3.860 90.00 90.00 120.00
Site moments in Bohr magnetons follow the coordinates.
Fractional coordinates of all 9 atoms:
Si 0.236 0.000 0.000  -0.02
U 0.000 0.576 0.500  1.51
Fe 0.333 0.667 0.000  -0.52
Fe 0.667 0.333 0.000  -0.52
U 0.424 0.424 0.500  1.25
Si 0.764 0.764 0.000  -0.01
Si 0.000 0.236 0.000  -0.02
U 0.576 0.000 0.500  1.35
Fe 0.000 0.000 0.500  -0.16

Computed properties:
raw total energy: -8.79 eV per atom
space-group type: No. 189

***

No. 5
Below is a relaxed UFeSi crystal, with properties calculated at the GGA-PBE level.

Lattice parameters (Å, degrees): 7.232 3.999 6.349 90.00 90.00 90.00
Site moments in Bohr magnetons follow the coordinates.
Fractional coordinates of all 12 atoms:
U 0.488 0.750 0.159  1.32
U 0.988 0.750 0.341  1.29
Fe 0.875 0.250 0.055  -0.26
Fe 0.375 0.250 0.445  -0.25
Si 0.698 0.250 0.382  -0.01
U 0.512 0.250 0.841  1.32
Si 0.302 0.750 0.618  -0.01
Si 0.198 0.250 0.118  -0.01
Fe 0.125 0.750 0.945  -0.26
U 0.012 0.250 0.659  1.29
Fe 0.625 0.750 0.555  -0.25
Si 0.802 0.750 0.882  -0.01

Computed properties:
raw total energy: -8.80 eV per atom
space-group type: No. 62

***

No. 6
Below is a relaxed UFeSi crystal, with properties calculated at the GGA-PBE level.

Lattice parameters (Å, degrees): 4.392 4.392 4.392 60.00 60.00 60.00
Fractional coordinates of all 3 atoms:
Si 0.750 0.750 0.750
Fe 0.250 0.250 0.250
U 0.000 0.000 0.000

Computed properties:
raw total energy: -7.55 eV per atom
space-group type: No. 216

***

No. 7
Below is a relaxed UFeSi crystal, with properties calculated at the GGA-PBE level.

Lattice parameters (Å, degrees): 4.213 4.213 4.213 60.00 60.00 60.00
Site moments in Bohr magnetons follow the coordinates.
Fractional coordinates of all 3 atoms:
Si 0.250 0.250 0.250  -0.01
U 0.750 0.750 0.750  1.18
Fe 0.000 0.000 0.000  -0.44

Computed properties:
raw total energy: -8.49 eV per atom
space-group type: No. 216

***

No. 8
Below is a relaxed UFeSi crystal, with properties calculated at the GGA-PBE level.

Lattice parameters (Å, degrees): 6.122 6.122 4.274 90.00 90.00 120.00
Site moments in Bohr magnetons follow the coordinates.
Fractional coordinates of all 9 atoms:
Si 0.000 0.000 0.500  0.00
U 0.000 0.516 0.500  0.28
Si 0.667 0.333 0.000  -0.01
Si 0.333 0.667 0.000  -0.01
Fe 0.769 0.769 0.000  -0.13
U 0.516 0.000 0.500  0.34
U 0.484 0.484 0.500  0.32
Fe 0.000 0.231 0.000  -0.13
Fe 0.231 0.000 0.000  -0.13

Computed properties:
raw total energy: -8.67 eV per atom
space-group type: No. 189